# 1
## LiTbNiGe (PBE-GGA)

Data for an optimized crystal structure of LiTbNiGe.

Geometry as POSCAR:
```
LiTbNiGe
1.0
4.472 0.000 0.000
2.236 3.873 0.000
2.236 1.291 3.652
Ge Ni Li Tb
1 1 1 1
direct
0.000 0.000 0.000 Ge
0.750 0.750 0.750 Ni
0.250 0.250 0.250 Li
0.500 0.500 0.500 Tb
```

Results
space group: F-43m (216)
DFT total energy: -0.3519 Ry/atom
energy of formation: -551.9 meV per atom

***

# 2
## NaAg3O (PBE-GGA)

Data for an optimized crystal structure of NaAg3O.

Geometry as POSCAR:
```
NaAg3O
1.0
4.605 0.000 0.000
0.000 4.605 0.000
0.000 0.000 4.605
O Ag Na
1 3 1
direct
0.000 0.000 0.000 O
0.000 0.000 0.500 Ag
0.500 0.000 0.000 Ag
0.000 0.500 0.000 Ag
0.500 0.500 0.500 Na
```

Results
space group: Pm-3m (221)
raw formation energy: 0.0208 eV/atom
DFT total energy: -0.2165 Ry/atom

***

# 3
## Be2MoRu (PBE-GGA)

Data for an optimized crystal structure of Be2MoRu.

Geometry as POSCAR:
```
Be2MoRu
1.0
3.526 0.000 0.000
0.000 2.891 -0.001
0.000 1.446 4.432
Ru Be Mo
1 2 1
direct
0.500 0.782 0.812 Ru
0.500 0.063 0.249 Be
0.000 0.192 0.991 Be
0.000 0.463 0.448 Mo
```

Results
space group: Amm2 (38)
DFT total energy: -0.5205 Ry/atom
energy of formation: -192.3 meV per atom

***

# 4
## HfHg2As (PBE-GGA)

Data for an optimized crystal structure of HfHg2As.

Geometry as POSCAR:
```
HfHg2As
1.0
-7.007 -0.336 3.916
3.609 -3.720 6.138
-1.160 0.433 6.202
Hg Hf As
4 2 2
direct
0.616 0.125 0.250 Hg
0.875 0.866 0.750 Hg
0.134 0.625 0.250 Hg
0.375 0.384 0.750 Hg
0.000 0.000 0.000 Hf
0.750 0.250 0.500 Hf
0.250 0.750 0.500 As
0.500 0.500 0.000 As
```

Results
space group: I-42d (122)
DFT total energy: -0.2753 Ry/atom
energy of formation: 56.0 meV per atom

***

# 5
## CeSiRu2 (PBE-GGA)

Data for an optimized crystal structure of CeSiRu2.

Geometry as POSCAR:
```
CeSiRu2
1.0
-0.217 3.001 -1.883
-3.187 -1.698 -2.340
-2.879 1.547 2.799
Ru Si Ce
2 1 1
direct
0.000 0.500 0.000 Ru
0.000 0.000 0.500 Ru
0.500 0.000 0.000 Si
0.500 0.500 0.500 Ce
```

Results
space group: P4/mmm (123)
raw formation energy: -0.4528 eV/atom
DFT total energy: -0.5828 Ry/atom

***

# 6
## AlMoAs2Au (PBE-GGA)

Data for an optimized crystal structure of AlMoAs2Au.

Geometry as POSCAR:
```
AlMoAs2Au
1.0
4.766 0.000 0.000
0.000 4.830 0.000
0.000 0.000 4.766
Au Al Mo As
1 1 1 2
direct
0.000 0.500 0.000 Au
0.000 0.000 0.000 Al
0.500 0.500 0.500 Mo
0.000 0.000 0.500 As
0.500 0.000 0.000 As
```

Results
space group: P4/mmm (123)
DFT total energy: -0.3314 Ry/atom
energy of formation: 921.2 meV per atom